No. 1
First-principles (PBE) data for a relaxed structure of Li9AgAu2, as listed in Alexandria.

Calculated values
Crystal system = tetragonal
Magnetization = 0.00 μB per formula unit
Calculated density = 4.84 g cm⁻³

Cell lengths 4.002, 4.002, 12.078 Å; angles 90.00, 90.00, 90.00 degrees
Space group P4/mmm (No. 123)
Inequivalent atoms, fractional coordinates:
1 Li 0.000 0.000 0.000 [1 per cell]
2 Li 0.000 0.000 0.336 [2 per cell]
3 Li 0.000 0.500 0.173 [4 per cell]
4 Li 0.000 0.500 0.500 [2 per cell]
5 Ag 0.500 0.500 0.000 [1 per cell]
6 Au 0.500 0.500 0.335 [2 per cell]

---

No. 2
First-principles (PBE) data for a relaxed structure of GeBiAsPb2, as listed in Alexandria.

Calculated values
Crystal system = tetragonal
Magnetization = 0.00 μB per formula unit
Calculated density = 7.62 g cm⁻³

Cell lengths 5.547, 5.547, 5.460 Å; angles 90.00, 90.00, 90.00 degrees
Space group P4/mmm (No. 123)
Inequivalent atoms, fractional coordinates:
1 Ge 0.000 0.000 0.000 [1 per cell]
2 Bi 0.000 0.000 0.500 [1 per cell]
3 As 0.500 0.500 0.500 [1 per cell]
4 Pb 0.000 0.500 0.000 [2 per cell]

---

no.,total DFT energy (no corrections) (eV per atom),formation energy (eV/f.u.)
1,-2.51,-3.48
2,-3.49,3.09